A plane-wave DFT calculation with PBE was carried out for LiY3Re after structural relaxation.

Computed properties:
- N(E_F) (states/eV/f.u.) = 5.77
- density (g/cm3) = 4.68
- crystal system = cubic
- excess energy over the best structure of this formula in the dataset (eV/atom) = 0.000
- formation energy from the elements (meV/atom) = 296.9

```
data_LiY3Re
_cell_length_a 5.4633
_cell_length_b 5.4633
_cell_length_c 5.4633
_cell_angle_alpha 90.00
_cell_angle_beta 90.00
_cell_angle_gamma 90.00
_space_group_name_H-M_alt 'P m -3 m'
_space_group_IT_number 221
_space_group_name_Hall '-P 4 2 3'
loop_
_atom_site_label
_atom_site_fract_x
_atom_site_fract_y
_atom_site_fract_z
Li1 0.0000 0.0000 0.0000
Y1 0.0000 0.5000 0.5000
Re1 0.5000 0.5000 0.5000
```